No. 1
# B3PtW (PBE, relaxed)
data_B3PtW
_chemical_formula_sum 'B3 Pt1 W1'
_symmetry_space_group_name_H-M 'P m -3 m'
_symmetry_Int_Tables_number 221
_symmetry_space_group_name_Hall '-P 4 2 3'
_cell_length_a 4.0345
_cell_length_b 4.0345
_cell_length_c 4.0345
_cell_angle_alpha 90.00
_cell_angle_beta 90.00
_cell_angle_gamma 90.00
loop_
_atom_site_label
_atom_site_type_symbol
_atom_site_fract_x
_atom_site_fract_y
_atom_site_fract_z
B1 B 0.0000 0.0000 0.5000
Pt1 Pt 0.0000 0.0000 0.0000
W1 W 0.5000 0.5000 0.5000
# - ΔE to the lowest computed polymorph (meV per atom) = 150

No. 2
# Ce3Th4Se8 (PBE, relaxed)
data_Ce3Th4Se8
_chemical_formula_sum 'Ce6 Th8 Se16'
_symmetry_space_group_name_H-M 'C 1 2/m 1'
_symmetry_Int_Tables_number 12
_cell_length_a 11.8012
_cell_length_b 11.8201
_cell_length_c 8.3518
_cell_angle_alpha 90.00
_cell_angle_beta 134.91
_cell_angle_gamma 90.00
loop_
_symmetry_equiv_pos_as_xyz
'x,y,z'
'-x,-y,-z'
'-x,y,-z'
'x,-y,z'
'x+1/2,y+1/2,z'
'-x+1/2,-y+1/2,-z'
'-x+1/2,y+1/2,-z'
'x+1/2,-y+1/2,z'
loop_
_atom_site_label
_atom_site_type_symbol
_atom_site_fract_x
_atom_site_fract_y
_atom_site_fract_z
Ce1 Ce 0.0000 0.0000 0.0000
Ce2 Ce 0.2500 0.2500 0.0000
Th1 Th 0.0000 0.5000 0.0000
Th2 Th 0.0000 0.5000 0.5000
Th3 Th 0.2500 0.2500 0.5000
Se1 Se 0.0000 0.2425 0.5000
Se2 Se 0.0000 0.2490 0.0000
Se3 Se 0.2405 0.0000 0.4990
Se4 Se 0.2435 0.0000 0.9879
# - formation energy from raw total energies (eV per atom) = -1.7027

No. 3
# KMgNiSn2 (PBE, relaxed)
data_KMgNiSn2
_chemical_formula_sum 'K1 Mg1 Ni1 Sn2'
_symmetry_space_group_name_H-M 'P 4/m m m'
_symmetry_Int_Tables_number 123
_symmetry_space_group_name_Hall '-P 4 2'
_cell_length_a 5.0718
_cell_length_b 5.0718
_cell_length_c 5.0368
_cell_angle_alpha 90.00
_cell_angle_beta 90.00
_cell_angle_gamma 90.00
loop_
_atom_site_label
_atom_site_type_symbol
_atom_site_fract_x
_atom_site_fract_y
_atom_site_fract_z
K1 K 0.0000 0.0000 0.0000
Mg1 Mg 0.5000 0.5000 0.0000
Ni1 Ni 0.5000 0.5000 0.5000
Sn1 Sn 0.0000 0.5000 0.5000
# - DFT total energy (eV per atom) = -3.372